The following is a DFT calculation (GGA+U) of crystalline Np2WO8 at its relaxed geometry.

a b c (Å): 3.526 7.862 6.433
angles (deg): 89.13 90.00 102.96
Last column: magnetic moment on the atom in μB.
Fractional positions:
Np1 0.708 0.454 0.739  2.27
Np2 0.254 0.546 0.261  2.27
W1 0.660 0.000 0.000  0.03
O1 0.393 0.814 0.175  -0.05
O2 0.699 0.437 0.123  -0.12
O3 0.793 0.620 0.451  -0.12
O4 0.935 0.891 0.838  -0.01
O5 0.172 0.380 0.549  -0.12
O6 0.262 0.563 0.877  -0.12
O7 0.579 0.186 0.825  -0.05
O8 0.045 0.109 0.162  -0.01

Output
- M_tot: 4.00 μB/f.u.
- VASP energy: -99.02 eV for the cell shown